# 1
A relaxed structure of Pm4Hg5Pb2. Source: Alexandria, functional PBE.

Unit cell a=8.4960 b=3.6406 c=10.2574 alpha=90.00 beta=100.49 gamma=90.00
Positions (direct):
Pm 0.1868 0.0000 0.4104
Pm 0.2690 0.0000 0.9317
Pm 0.7310 0.0000 0.0683
Pm 0.8132 0.0000 0.5896
Hg 0.1515 0.5000 0.6597
Hg 0.4796 0.5000 0.1983
Hg 0.5000 0.5000 0.5000
Hg 0.5204 0.5000 0.8017
Hg 0.8485 0.5000 0.3403
Pb 0.0980 0.5000 0.1432
Pb 0.9020 0.5000 0.8568

Values from the calculation:
DOS(E_F) = 6.42 states/eV/cell



# 2
A relaxed structure of Pm2HgPb3. Source: Alexandria, functional PBE.

Unit cell a=4.5636 b=4.5636 c=8.5981 alpha=90.00 beta=90.00 gamma=90.00
Positions (direct):
Pm 0.0000 0.5000 0.1842
Pm 0.5000 0.0000 0.8158
Hg 0.0000 0.0000 0.5000
Pb 0.0000 0.5000 0.8091
Pb 0.5000 0.0000 0.1909
Pb 0.5000 0.5000 0.5000

Values from the calculation:
Energy above the lowest structure with this stoichiometry = 157.1 meV/atom
DOS(E_F) = 4.35 states/eV/cell



# 3
A relaxed structure of PmHgPb. Source: Alexandria, functional PBE.

Unit cell a=5.2329 b=3.5741 c=9.0045 alpha=90.00 beta=90.00 gamma=90.00
Positions (direct):
Pm 0.2500 0.0000 0.2411
Pm 0.7500 0.0000 0.7589
Hg 0.2500 0.5000 0.9290
Hg 0.7500 0.5000 0.0710
Pb 0.2500 0.5000 0.5955
Pb 0.7500 0.5000 0.4045

Values from the calculation:
Energy above the lowest structure with this stoichiometry = 119.7 meV/atom
DOS(E_F) = 4.26 states/eV/cell



# 4
A relaxed structure of PmHg6Pb. Source: Alexandria, functional PBE.

Unit cell a=6.2135 b=6.2135 c=6.2135 alpha=84.62 beta=84.62 gamma=84.62
Positions (direct):
Pm 0.0000 0.0000 0.0000
Hg 0.1552 0.1552 0.5214
Hg 0.1552 0.5214 0.1552
Hg 0.4786 0.8448 0.8448
Hg 0.5214 0.1552 0.1552
Hg 0.8448 0.4786 0.8448
Hg 0.8448 0.8448 0.4786
Pb 0.5000 0.5000 0.5000

Values from the calculation:
Energy above the lowest structure with this stoichiometry = 145.9 meV/atom
DOS(E_F) = 5.59 states/eV/cell



# 5
A relaxed structure of Pm4HgPb3. Source: Alexandria, functional PBE.

Unit cell a=9.5745 b=9.5726 c=5.1355 alpha=74.46 beta=74.42 gamma=31.12
Positions (direct):
Pm 0.1224 0.1224 0.3776
Pm 0.3776 0.3776 0.1224
Pm 0.6224 0.6224 0.8776
Pm 0.8776 0.8776 0.6224
Hg 0.0000 0.0000 0.0000
Pb 0.2492 0.2492 0.7508
Pb 0.5000 0.5000 0.5000
Pb 0.7508 0.7508 0.2492

Values from the calculation:
Energy above the lowest structure with this stoichiometry = 21.1 meV/atom
DOS(E_F) = 7.39 states/eV/cell



# 6
A relaxed structure of Pm12HgPb6. Source: Alexandria, functional PBE.

Unit cell a=9.0619 b=9.0619 c=9.0619 alpha=100.40 beta=100.40 gamma=100.40
Positions (direct):
Pm 0.0404 0.9469 0.6739
Pm 0.0531 0.3261 0.9596
Pm 0.1938 0.5565 0.4166
Pm 0.3261 0.9596 0.0531
Pm 0.4166 0.1938 0.5565
Pm 0.4435 0.5834 0.8062
Pm 0.5565 0.4166 0.1938
Pm 0.5834 0.8062 0.4435
Pm 0.6739 0.0404 0.9469
Pm 0.8062 0.4435 0.5834
Pm 0.9469 0.6739 0.0404
Pm 0.9596 0.0531 0.3261
Hg 0.0000 0.0000 0.0000
Pb 0.1238 0.3169 0.6274
Pb 0.3169 0.6274 0.1238
Pb 0.3726 0.8762 0.6831
Pb 0.6274 0.1238 0.3169
Pb 0.6831 0.3726 0.8762
Pb 0.8762 0.6831 0.3726

Values from the calculation:
DOS(E_F) = 19.25 states/eV/cell



# 7
A relaxed structure of Pm5HgPb4. Source: Alexandria, functional PBE.

Unit cell a=4.0504 b=4.0504 c=18.0696 alpha=90.00 beta=90.00 gamma=90.00
Positions (direct):
Pm 0.0000 0.0000 0.0000
Pm 0.0000 0.0000 0.1985
Pm 0.0000 0.0000 0.4025
Pm 0.0000 0.0000 0.5975
Pm 0.0000 0.0000 0.8015
Hg 0.5000 0.5000 0.5000
Pb 0.5000 0.5000 0.0984
Pb 0.5000 0.5000 0.3010
Pb 0.5000 0.5000 0.6990
Pb 0.5000 0.5000 0.9016

Values from the calculation:
DOS(E_F) = 10.22 states/eV/cell



# 8
A relaxed structure of PmHg2Pb. Source: Alexandria, functional PBE.

Unit cell a=3.8026 b=3.8026 c=7.5805 alpha=90.00 beta=90.00 gamma=90.00
Positions (direct):
Pm 0.0000 0.0000 0.0000
Hg 0.5000 0.5000 0.2457
Hg 0.5000 0.5000 0.7543
Pb 0.0000 0.0000 0.5000

Values from the calculation:
DOS(E_F) = 2.28 states/eV/cell



| no. | formation enthalpy at 0 K (eV/atom) | calculated density (g cm⁻³) | uncorrected energy (eV per atom) |
| --- | --- | --- | --- |
| 1 | -0.3606 | 10.63 | -2.8995 |
| 2 | -0.3124 | 10.31 | -3.8004 |
| 3 | -0.3293 | 10.90 | -3.2495 |
| 4 | -0.0361 | 10.90 | -1.3198 |
| 5 | -0.5005 | 9.97 | -4.3041 |
| 6 | -0.2261 | 7.53 | -4.4134 |
| 7 | -0.4685 | 9.83 | -4.3573 |
| 8 | -0.3051 | 11.41 | -2.5708 |